# CoAsO2 | the Alexandria database | PBE with a Hubbard U | relaxed
data_CoAsO2
_chemical_formula_sum 'Co2 As2 O4'
_space_group_name_H-M_alt 'P 1'
_space_group_IT_number 1
_cell_length_a 5.731
_cell_length_b 5.731
_cell_length_c 5.731
_cell_angle_alpha 128.83
_cell_angle_beta 128.83
_cell_angle_gamma 75.28
loop_
_space_group_symop_operation_xyz
'x,y,z'
loop_
_atom_site_label
_atom_site_type_symbol
_atom_site_fract_x
_atom_site_fract_y
_atom_site_fract_z
Co1 Co 0.000 0.000 0.000
Co2 Co 0.750 0.250 0.500
As1 As 0.250 0.750 0.500
As2 As 0.500 0.500 0.000
O1 O 0.092 0.625 0.967
O2 O 0.375 0.342 0.467
O3 O 0.658 0.125 0.033
O4 O 0.875 0.908 0.533
# Electronic total energy, eV/atom: -5.39
# M_tot, μB per cell: 4.4